A plane-wave DFT calculation with PBE was carried out for Cs2AlClF6 after structural relaxation.

Results
VASP energy, eV per atom: -4.476
Total magnetic moment, μB/f.u.: 0.000
E_form (uncorrected), eV/atom: -2.62

Structure (POSCAR):
```
Cs2AlClF6
1.0
-3.501 3.501 3.932
3.501 -3.501 3.932
3.501 3.501 -3.932
Cs Al Cl F
2 1 1 6
direct
0.250 0.750 0.500
0.750 0.250 0.500
0.000 0.000 0.000
0.500 0.500 0.000
0.180 0.180 0.359
0.180 0.820 0.000
0.259 0.259 0.000
0.741 0.741 0.000
0.820 0.180 0.000
0.820 0.820 0.641
```